# MgCr2Ni

An optimized crystal structure of MgCr2Ni (PBE, the Alexandria database).

Computed properties:
As for the total energy: -6.2749 eV/atom. The formation energy comes out at 0.381 eV per atom. For the calculated volume, the calculation gives 103 Å³/cell.

Cell lengths 3.294, 3.803, 8.219 Å; angles 90.00, 90.00, 90.00 degrees
Sites, in units of the cell vectors:
Mg (0.000, 0.000, 0.000)
Mg (0.500, 0.500, 0.000)
Cr (0.000, 0.500, 0.276)
Cr (0.000, 0.500, 0.724)
Cr (0.500, 0.000, 0.276)
Cr (0.500, 0.000, 0.724)
Ni (0.000, 0.000, 0.500)
Ni (0.500, 0.500, 0.500)

# CuPbBr3

An optimized crystal structure of CuPbBr3 (PBE, the Alexandria database).

Computed properties:
The uncorrected formation energy is -60.5 kJ per mole of atoms. As for the total energy: -3.1920 eV/atom. The value obtained for the relative energy among the computed polymorphs is 2.6 meV/atom. For the calculated volume, the calculation gives 346 Å³/cell.

Cell lengths 4.299, 12.301, 12.301 Å; angles 147.90, 90.00, 90.00 degrees
Sites, in units of the cell vectors:
Cu (0.250, 0.111, 0.889)
Cu (0.750, 0.889, 0.111)
Pb (0.250, 0.416, 0.744)
Pb (0.750, 0.744, 0.416)
Br (0.250, 0.082, 0.655)
Br (0.250, 0.461, 0.259)
Br (0.250, 0.803, 0.950)
Br (0.750, 0.259, 0.461)
Br (0.750, 0.655, 0.082)
Br (0.750, 0.950, 0.803)

# Sm5Y4Er4

An optimized crystal structure of Sm5Y4Er4 (PBE, the Alexandria database).

Computed properties:
As for the total energy: -5.1890 eV/atom. The formation energy comes out at 0.019 eV per atom. For the calculated volume, the calculation gives 419 Å³/cell.

Cell lengths 9.462, 9.462, 9.462 Å; angles 94.07, 94.07, 149.09 degrees
Sites, in units of the cell vectors:
Sm (0.000, 0.000, 0.000)
Sm (0.308, 0.460, 0.768)
Sm (0.460, 0.692, 0.153)
Sm (0.540, 0.308, 0.847)
Sm (0.692, 0.540, 0.232)
Y (0.077, 0.616, 0.693)
Y (0.384, 0.077, 0.462)
Y (0.616, 0.923, 0.538)
Y (0.923, 0.384, 0.307)
Er (0.154, 0.232, 0.386)
Er (0.232, 0.846, 0.077)
Er (0.768, 0.154, 0.923)
Er (0.846, 0.768, 0.614)